Below is a geometry-optimized Fe2PbBr structure, with properties calculated at the GGA-PBE level.

Structure (POSCAR):
```
Fe2PbBr
1.0
5.932 0.038 0.000
3.355 4.892 0.000
-4.644 -2.465 2.748
Pb Fe Br
1 2 1
direct
0.500 0.500 0.000 Pb
0.250 0.750 0.500 Fe
0.000 0.000 0.000 Fe
0.750 0.250 0.500 Br
```

Calculated values
For the distance to the lowest polymorph of the same formula, the calculation gives 2.35 eV per formula unit. The density of states at the Fermi level comes out at 1.047 states/eV/atom. The spin magnetization is 5.564 μB/f.u.

=====

Below is a geometry-optimized Pr2TlNi structure, with properties calculated at the GGA-PBE level.

Structure (POSCAR):
```
Pr2TlNi
1.0
3.638 0.000 0.000
0.000 3.638 0.000
0.000 0.000 7.910
Pr Tl Ni
2 1 1
direct
0.000 0.000 0.213 Pr
0.000 0.000 0.787 Pr
0.500 0.500 0.500 Tl
0.500 0.500 0.000 Ni
```

Calculated values
For the distance to the lowest polymorph of the same formula, the calculation gives 0.00 eV per formula unit. The density of states at the Fermi level comes out at 0.749 states/eV/atom. The spin magnetization is 0.000 μB/f.u. The formation energy from the elements comes out at -0.273 eV/atom.

=====

Below is a geometry-optimized Ca3Pu2NpAs6 structure, with properties calculated at the GGA-PBE level.

Structure (POSCAR):
```
Ca3Pu2NpAs6
1.0
-5.459 1.466 -4.564
6.025 -3.228 -2.462
-2.911 -5.489 3.646
As Ca Pu Np
6 3 2 1
direct
0.405 0.076 0.228 As
0.747 0.747 0.227 As
0.253 0.253 0.773 As
0.595 0.924 0.772 As
0.076 0.405 0.228 As
0.924 0.595 0.772 As
0.500 0.500 0.500 Ca
0.832 0.168 0.500 Ca
0.168 0.832 0.500 Ca
0.333 0.667 0.000 Pu
0.667 0.333 0.000 Pu
0.000 0.000 0.000 Np
```

Calculated values
The density of states at the Fermi level comes out at 2.864 states/eV/atom. The spin magnetization is 10.984 μB/f.u. The formation energy from the elements comes out at -0.997 eV/atom.

=====

Below is a geometry-optimized NiPtPb structure, with properties calculated at the GGA-PBE level.

Structure (POSCAR):
```
NiPtPb
1.0
-3.948 -2.684 -0.834
0.020 -4.576 1.595
0.992 4.386 1.808
Ni Pt Pb
1 1 1
direct
0.007 0.007 0.000 Ni
0.661 0.661 0.000 Pt
0.332 0.332 0.000 Pb
```

Calculated values
For the distance to the lowest polymorph of the same formula, the calculation gives 0.18 eV per formula unit. The density of states at the Fermi level comes out at 0.773 states/eV/atom. The spin magnetization is 0.000 μB/f.u. The formation energy from the elements comes out at 0.130 eV/atom.

=====

Below is a geometry-optimized Pu5PaSe8 structure, with properties calculated at the GGA-PBE level.

Structure (POSCAR):
```
Pu5PaSe8
1.0
7.155 0.000 -2.481
-3.560 6.180 -2.546
-0.035 0.000 7.573
Se Pu Pa
8 5 1
direct
0.980 0.104 0.728 Se
0.272 0.253 0.376 Se
0.624 0.896 0.876 Se
0.128 0.748 0.527 Se
0.124 0.747 0.020 Se
0.779 0.252 0.379 Se
0.621 0.400 0.872 Se
0.473 0.600 0.221 Se
0.500 0.000 0.500 Pu
0.749 0.625 0.622 Pu
0.876 0.873 0.251 Pu
0.378 0.127 0.004 Pu
0.996 0.375 0.124 Pu
0.250 0.500 0.750 Pa
```

Calculated values
The density of states at the Fermi level comes out at 3.097 states/eV/atom. The spin magnetization is 29.001 μB/f.u. As for the total energy: -9.319 eV/atom.

=====

Below is a geometry-optimized TiZnSb2 structure, with properties calculated at the GGA-PBE level.

Structure (POSCAR):
```
TiZnSb2
1.0
3.196 0.000 0.000
1.598 2.768 0.000
1.598 0.923 10.535
Sb Zn Ti
2 1 1
direct
0.096 0.096 0.712 Sb
0.904 0.904 0.288 Sb
0.000 0.000 0.000 Zn
0.500 0.500 0.500 Ti
```

Calculated values
For the distance to the lowest polymorph of the same formula, the calculation gives 0.17 eV per formula unit. The density of states at the Fermi level comes out at 0.969 states/eV/atom. The spin magnetization is 0.000 μB/f.u.

=====

Below is a geometry-optimized HgSb2PBr structure, with properties calculated at the GGA-PBE level.

Structure (POSCAR):
```
HgSb2PBr
1.0
-4.320 1.430 2.670
-2.552 -4.327 -1.811
1.678 -2.741 4.183
Hg P Sb Br
1 1 2 1
direct
0.000 0.500 0.000 Hg
0.000 0.000 0.000 P
0.500 0.000 0.000 Sb
0.000 0.000 0.500 Sb
0.500 0.500 0.500 Br
```

Calculated values
The density of states at the Fermi level comes out at 1.041 states/eV/atom. The spin magnetization is 0.570 μB/f.u. As for the total energy: -2.687 eV/atom.

=====

Below is a geometry-optimized NaPuSnPb structure, with properties calculated at the GGA-PBE level.

Structure (POSCAR):
```
NaPuSnPb
1.0
5.390 0.000 0.000
2.695 4.668 0.000
2.695 1.556 4.401
Sn Pu Pb Na
1 1 1 1
direct
0.250 0.250 0.250 Sn
0.500 0.500 0.500 Pu
0.750 0.750 0.750 Pb
0.000 0.000 0.000 Na
```

Calculated values
For the distance to the lowest polymorph of the same formula, the calculation gives 0.27 eV per formula unit. The density of states at the Fermi level comes out at 3.688 states/eV/atom. The spin magnetization is 5.635 μB/f.u. The formation energy from the elements comes out at -0.136 eV/atom.

=====

Below is a geometry-optimized Ti4Ga2Rh structure, with properties calculated at the GGA-PBE level.

Structure (POSCAR):
```
Ti4Ga2Rh
1.0
4.555 0.000 0.000
0.000 4.555 0.000
2.277 2.277 6.843
Ga Rh Ti
2 1 4
direct
0.374 0.374 0.253 Ga
0.626 0.626 0.747 Ga
0.000 0.000 0.000 Rh
0.500 0.000 0.000 Ti
0.000 0.500 0.000 Ti
0.184 0.184 0.633 Ti
0.816 0.816 0.367 Ti
```

Calculated values
For the distance to the lowest polymorph of the same formula, the calculation gives 4.12 eV per formula unit. The density of states at the Fermi level comes out at 1.480 states/eV/atom. The spin magnetization is 0.000 μB/f.u. The formation energy from the elements comes out at 0.255 eV/atom.

=====

Below is a geometry-optimized Ce2PmEu structure, with properties calculated at the GGA-PBE level.

Structure (POSCAR):
```
Ce2PmEu
1.0
3.547 0.000 0.000
1.773 3.072 0.000
1.773 1.024 11.967
Ce Pm Eu
2 1 1
direct
0.752 0.752 0.745 Ce
0.248 0.248 0.255 Ce
0.500 0.500 0.500 Pm
0.000 0.000 0.000 Eu
```

Calculated values
For the distance to the lowest polymorph of the same formula, the calculation gives 0.00 eV per formula unit. The density of states at the Fermi level comes out at 2.883 states/eV/atom. The spin magnetization is 5.554 μB/f.u. The formation energy from the elements comes out at 0.169 eV/atom.

=====

Below is a geometry-optimized CaTl2Ag structure, with properties calculated at the GGA-PBE level.

Structure (POSCAR):
```
CaTl2Ag
1.0
-3.942 0.688 -8.337
-2.427 -2.774 -8.481
-5.797 -2.251 -6.845
Ca Tl Ag
1 2 1
direct
0.750 0.750 0.750 Ca
0.990 0.990 0.990 Tl
0.510 0.510 0.510 Tl
0.250 0.250 0.250 Ag
```

Calculated values
The density of states at the Fermi level comes out at 0.373 states/eV/atom. The spin magnetization is 0.000 μB/f.u. The formation energy from the elements comes out at -0.060 eV/atom.

=====

Below is a geometry-optimized VP3Pb structure, with properties calculated at the GGA-PBE level.

Structure (POSCAR):
```
VP3Pb
1.0
-4.271 -2.640 0.995
2.527 -4.383 -0.781
1.255 -0.160 4.960
V P Pb
1 3 1
direct
0.500 0.500 0.500 V
0.500 0.000 0.000 P
0.000 0.000 0.500 P
0.000 0.500 0.000 P
0.000 0.000 0.000 Pb
```

Calculated values
For the distance to the lowest polymorph of the same formula, the calculation gives 7.48 eV per formula unit. The density of states at the Fermi level comes out at 2.009 states/eV/atom. The spin magnetization is 2.544 μB/f.u. The formation energy from the elements comes out at 1.670 eV/atom.